First-principles (PBE) data for TcHg2IrI after structural relaxation, as listed in Alexandria via LeMat-Bulk.

Values from the calculation:
Mass density: 8.5 g cm⁻³
Magnetization: 4.66 μB per cell
Final energy: -11.4 eV/cell

a b c (Å): 5.7453 5.7453 4.8709
angles (deg): 90.00 90.00 90.00
Space group P4/mmm (No. 123)
Symmetry-distinct sites (fractional):
Tc1 0.0000 0.0000 0.0000 x1
Hg1 0.0000 0.5000 0.5000 x2
Ir1 0.5000 0.5000 0.0000 x1
I1 0.5000 0.5000 0.5000 x1